No. 1
## MgGaCu2 (PBE)

Data for MgGaCu2 after structural relaxation. Values from VASP.

```
&SYSTEM
  ibrav = 0, nat = 16, ntyp = 3
/
ATOMIC_SPECIES
Mg 24.30 Mg.upf
Ga 69.72 Ga.upf
Cu 63.55 Cu.upf
CELL_PARAMETERS angstrom
6.124 0.000 0.000
0.000 6.124 0.000
0.000 0.000 6.124
ATOMIC_POSITIONS angstrom
Mg 0.000 0.000 0.000
Mg 0.000 3.062 3.062
Mg 3.062 0.000 3.062
Mg 3.062 3.062 0.000
Ga 1.531 1.531 4.593
Ga 1.531 4.593 1.531
Ga 4.593 1.531 1.531
Ga 4.593 4.593 4.593
Cu 0.000 0.000 3.062
Cu 0.000 3.062 0.000
Cu 1.531 1.531 1.531
Cu 1.531 4.593 4.593
Cu 3.062 0.000 0.000
Cu 3.062 3.062 3.062
Cu 4.593 1.531 4.593
Cu 4.593 4.593 1.531
```

VASP energy in eV per atom: -3.06
Crystal system: cubic

=====

No. 2
## Mg2Ga5Cu6 (PBE)

Data for Mg2Ga5Cu6 after structural relaxation. Values from VASP.

```
&SYSTEM
  ibrav = 0, nat = 39, ntyp = 3
/
ATOMIC_SPECIES
Mg 24.30 Mg.upf
Ga 69.72 Ga.upf
Cu 63.55 Cu.upf
CELL_PARAMETERS angstrom
8.287 0.000 0.000
0.000 8.287 0.000
0.000 0.000 8.287
ATOMIC_POSITIONS angstrom
Mg 0.000 2.642 4.143
Mg 0.000 5.645 4.143
Mg 2.642 4.143 0.000
Mg 4.143 0.000 2.642
Mg 4.143 0.000 5.645
Mg 5.645 4.143 0.000
Ga 0.000 4.143 1.355
Ga 0.000 4.143 6.932
Ga 1.355 0.000 4.143
Ga 1.803 1.803 1.803
Ga 1.803 1.803 6.484
Ga 1.803 6.484 1.803
Ga 1.803 6.484 6.484
Ga 4.143 1.355 0.000
Ga 4.143 4.143 4.143
Ga 4.143 6.932 0.000
Ga 6.484 1.803 1.803
Ga 6.484 1.803 6.484
Ga 6.484 6.484 1.803
Ga 6.484 6.484 6.484
Ga 6.932 0.000 4.143
Cu 0.000 0.000 1.865
Cu 0.000 0.000 6.422
Cu 0.000 1.865 0.000
Cu 0.000 6.422 0.000
Cu 1.865 0.000 0.000
Cu 2.010 4.143 2.787
Cu 2.010 4.143 5.500
Cu 2.787 2.010 4.143
Cu 2.787 6.277 4.143
Cu 4.143 2.787 2.010
Cu 4.143 2.787 6.277
Cu 4.143 5.500 2.010
Cu 4.143 5.500 6.277
Cu 5.500 2.010 4.143
Cu 5.500 6.277 4.143
Cu 6.277 4.143 2.787
Cu 6.277 4.143 5.500
Cu 6.422 0.000 0.000
```

VASP energy in eV per atom: -3.30
Crystal system: cubic

=====

No. 3
## Mg2GaCu (PBE)

Data for Mg2GaCu after structural relaxation. Values from VASP.

```
&SYSTEM
  ibrav = 0, nat = 16, ntyp = 3
/
ATOMIC_SPECIES
Mg 24.30 Mg.upf
Ga 69.72 Ga.upf
Cu 63.55 Cu.upf
CELL_PARAMETERS angstrom
6.391 0.000 0.000
0.000 6.391 0.000
0.000 0.000 6.391
ATOMIC_POSITIONS angstrom
Mg 0.000 0.000 0.000
Mg 0.000 3.196 3.196
Mg 1.598 1.598 1.598
Mg 1.598 4.793 4.793
Mg 3.196 0.000 3.196
Mg 3.196 3.196 0.000
Mg 4.793 1.598 4.793
Mg 4.793 4.793 1.598
Ga 0.000 0.000 3.196
Ga 0.000 3.196 0.000
Ga 3.196 0.000 0.000
Ga 3.196 3.196 3.196
Cu 1.598 1.598 4.793
Cu 1.598 4.793 1.598
Cu 4.793 1.598 1.598
Cu 4.793 4.793 4.793
```

VASP energy in eV per atom: -2.47
Crystal system: cubic